VASP calculation (PBE-GGA) on a relaxed ZnBi3O crystal.

D(E_F) = 1.774 states/eV per atom
crystal system = cubic
density = 7.77 g/cm³
E_tot = -13.44 eV per cell

a = 5.3286 Å, b = 5.3286 Å, c = 5.3286 Å
α = 90.00°, β = 90.00°, γ = 90.00°
Space group Pm-3m (No. 221)
Symmetry-distinct sites (fractional):
Zn  0.0000  0.0000  0.0000 [1 per cell]
Bi  0.0000  0.0000  0.5000 [3 per cell]
O  0.5000  0.5000  0.5000 [1 per cell]

VASP calculation (PBE-GGA) on a relaxed ZnBiO2 crystal.

D(E_F) = 0.241 states/eV per atom
crystal system = cubic
density = 9.37 g/cm³
excess energy over the best structure of this formula in the dataset = 434.6 meV/atom

a = 6.0100 Å, b = 6.0100 Å, c = 6.0100 Å
α = 90.00°, β = 90.00°, γ = 90.00°
Space group Fm-3m (No. 225)
Symmetry-distinct sites (fractional):
Zn  0.0000  0.0000  0.0000 [4 per cell]
Bi  0.0000  0.0000  0.5000 [4 per cell]
O  0.2500  0.2500  0.2500 [8 per cell]

VASP calculation (PBE-GGA) on a relaxed ZnBi2O5 crystal.

D(E_F) = 0.396 states/eV per atom
crystal system = orthorhombic
density = 7.87 g/cm³
excess energy over the best structure of this formula in the dataset = 88.0 meV/atom

a = 7.8735 Å, b = 3.5348 Å, c = 17.0793 Å
α = 90.00°, β = 90.00°, γ = 90.00°
Space group Pnma (No. 62)
Symmetry-distinct sites (fractional):
Zn  0.1549  0.2500  0.0926 [4 per cell]
Bi  0.1021  0.2500  0.7525 [4 per cell]
Bi  0.1791  0.2500  0.4478 [4 per cell]
O  0.0467  0.7500  0.8317 [4 per cell]
O  0.1151  0.7500  0.5173 [4 per cell]
O  0.1282  0.7500  0.0432 [4 per cell]
O  0.1451  0.7500  0.3039 [4 per cell]
O  0.1652  0.7500  0.6799 [4 per cell]

VASP calculation (PBE-GGA) on a relaxed ZnBi2O4 crystal.

D(E_F) = 0.000 states/eV per atom
crystal system = orthorhombic
density = 8.31 g/cm³
excess energy over the best structure of this formula in the dataset = 145.3 meV/atom

a = 12.0480 Å, b = 3.3370 Å, c = 10.8866 Å
α = 90.00°, β = 90.00°, γ = 90.00°
Space group Pnma (No. 62)
Symmetry-distinct sites (fractional):
Zn  0.1816  0.2500  0.1174 [4 per cell]
Bi  0.0907  0.2500  0.3830 [4 per cell]
Bi  0.1124  0.2500  0.8389 [4 per cell]
O  0.0255  0.2500  0.1910 [4 per cell]
O  0.0309  0.2500  0.6037 [4 per cell]
O  0.1761  0.7500  0.9836 [4 per cell]
O  0.2250  0.7500  0.2343 [4 per cell]